1.
{
  "formula": "Ac2Ga3Pb",
  "functional": "GGA-PBE",
  "state": "relaxed",
  "sg": "Fmmm (69)",
  "delta_e_f_ev_per_fu": -3.2,
  "cell": [[6.2082, 1.1106, -1.7831], [-1.4181, 6.1453, -1.7831], [-0.7453, -1.1290, 9.0836]],
  "species": ["Ac", "Ga", "Ac", "Ac", "Pb", "Ga", "Ga", "Ga", "Ac", "Ga", "Ga", "Pb"],
  "fractional_positions": [[0.7474, 0.7474, 0.0000], [0.1573, 0.1573, 0.3146], [0.2500, 0.7500, 0.5000], [0.7500, 0.2500, 0.5000], [0.3323, 0.3323, 0.6647], [0.3153, 0.8431, 0.1584], [0.8431, 0.3153, 0.1584], [0.6847, 0.1569, 0.8416], [0.2526, 0.2526, 0.0000], [0.1569, 0.6847, 0.8416], [0.8427, 0.8427, 0.6854], [0.6677, 0.6677, 0.3353]]
}

2.
{
  "formula": "CuRhO2F",
  "functional": "GGA-PBE",
  "state": "relaxed",
  "raw_formation_energy_mev_per_atom": 50,
  "sg": "P4/mmm (123)",
  "cell": [[3.8605, 0.0000, 0.0000], [0.0000, 3.8605, 0.0000], [0.0000, 0.0000, 3.6797]],
  "species": ["O", "Rh", "O", "Cu", "F"],
  "fractional_positions": [[0.5000, 0.0000, 0.0000], [0.5000, 0.5000, 0.5000], [0.0000, 0.5000, 0.0000], [0.0000, 0.0000, 0.0000], [0.0000, 0.0000, 0.5000]]
}

3.
{
  "formula": "GdYTeI",
  "functional": "GGA-PBE",
  "state": "relaxed",
  "raw_formation_energy_mev_per_atom": -988,
  "sg": "F-43m (216)",
  "cell": [[-0.8977, -2.1089, -4.8658], [-3.6858, -3.8684, -0.6160], [-4.5996, 1.0543, -2.5811]],
  "species": ["Gd", "Te", "Y", "I"],
  "fractional_positions": [[0.2500, 0.2500, 0.2500], [0.0000, 0.0000, 0.0000], [0.7500, 0.7500, 0.7500], [0.5000, 0.5000, 0.5000]]
}

4.
{
  "formula": "LiHf4N5",
  "functional": "GGA-PBE",
  "state": "relaxed",
  "raw_formation_energy_mev_per_atom": -1697,
  "sg": "I4/m (87)",
  "cell": [[4.0324, 0.0000, 1.9449], [2.0162, 5.0335, 0.9725], [-0.1705, 0.0000, 5.5062]],
  "species": ["N", "Hf", "N", "N", "N", "Li", "Hf", "Hf", "Hf", "N"],
  "fractional_positions": [[0.1012, 0.5938, 0.2059], [0.7969, 0.8092, 0.5990], [0.3070, 0.7941, 0.5938], [0.5010, 0.0000, 0.0000], [0.9009, 0.4062, 0.7941], [0.0011, 0.0000, 0.0000], [0.2051, 0.1908, 0.4010], [0.3959, 0.4010, 0.8092], [0.6062, 0.5990, 0.1908], [0.6950, 0.2059, 0.4062]]
}

5.
{
  "formula": "Ni3MoIr",
  "functional": "GGA-PBE",
  "state": "relaxed",
  "sg": "C2 (5)",
  "delta_e_f_ev_per_fu": -0.3,
  "cell": [[5.0002, 0.2925, 0.4186], [0.9266, 5.1128, 3.3492], [0.9265, 1.3911, 5.9517]],
  "species": ["Ni", "Ni", "Ni", "Mo", "Mo", "Ni", "Ir", "Ni", "Ni", "Ir"],
  "fractional_positions": [[0.1082, 0.8845, 0.5094], [0.7088, 0.0838, 0.7119], [0.8918, 0.4905, 0.1154], [0.2131, 0.9083, 0.8746], [0.7869, 0.1253, 0.0917], [0.6004, 0.7157, 0.6898], [0.0000, 0.5099, 0.4900], [0.2912, 0.2881, 0.9161], [0.3996, 0.3102, 0.2842], [0.5000, 0.6834, 0.3166]]
}

6.
{
  "formula": "PuUN",
  "functional": "GGA-PBE",
  "state": "relaxed",
  "raw_formation_energy_mev_per_atom": -700,
  "sg": "Pnma (62)",
  "cell": [[4.8245, 0.0000, 0.0000], [0.0000, 5.9799, 0.0000], [0.0000, 0.0000, 6.4443]],
  "species": ["U", "Pu", "Pu", "N", "N", "Pu", "U", "N", "U", "U", "Pu", "N"],
  "fractional_positions": [[0.2500, 0.3718, 0.6540], [0.2500, 0.9832, 0.5095], [0.7500, 0.4832, 0.9905], [0.7500, 0.4004, 0.6267], [0.2500, 0.9004, 0.8733], [0.2500, 0.5168, 0.0095], [0.2500, 0.1282, 0.1540], [0.2500, 0.5996, 0.3733], [0.7500, 0.6282, 0.3460], [0.7500, 0.8718, 0.8460], [0.7500, 0.0168, 0.4905], [0.7500, 0.0996, 0.1267]]
}

Number 1: spin magnetization 0.0 μB/cell. Number 2: spin magnetization 0.0 μB/cell. Number 3: spin magnetization 7.5 μB/cell. Number 4: spin magnetization 0.0 μB/cell. Number 5: spin magnetization 0.0 μB/cell. Number 6: spin magnetization 0.0 μB/cell.